Entry 1:
Compound: Tb3Pr4Sm2
Source: Alexandria
Functional: GGA-PBE
Structure: optimized geometry

```
data_Tb3Pr4Sm2
_chemical_formula_sum 'Tb6 Pr8 Sm4'
_space_group_name_H-M_alt 'P 1'
_space_group_IT_number 1
_space_group_name_Hall 'P 1'
_cell_length_a 10.207
_cell_length_b 10.207
_cell_length_c 6.266
_cell_angle_alpha 95.16
_cell_angle_beta 95.16
_cell_angle_gamma 71.16
loop_
_atom_site_label
_atom_site_type_symbol
_atom_site_fract_x
_atom_site_fract_y
_atom_site_fract_z
Tb1 Tb 0.100 0.900 0.750
Tb2 Tb 0.231 0.434 0.921
Tb3 Tb 0.434 0.231 0.421
Tb4 Tb 0.566 0.769 0.579
Tb5 Tb 0.769 0.566 0.079
Tb6 Tb 0.900 0.100 0.250
Pr1 Pr 0.073 0.354 0.347
Pr2 Pr 0.312 0.592 0.486
Pr3 Pr 0.354 0.073 0.847
Pr4 Pr 0.408 0.688 0.014
Pr5 Pr 0.592 0.312 0.986
Pr6 Pr 0.646 0.927 0.153
Pr7 Pr 0.688 0.408 0.514
Pr8 Pr 0.927 0.646 0.653
Sm1 Sm 0.020 0.744 0.182
Sm2 Sm 0.256 0.980 0.318
Sm3 Sm 0.744 0.020 0.682
Sm4 Sm 0.980 0.256 0.818
```

Properties
Volume: 614 Å³ per cell
Magnetization: 0.00 μB/f.u.
Energy relative to the elements: 0.0829 eV per atom
Electronic total energy: -4.633 eV/atom
Density of states at the Fermi level: 25.1 states/eV per cell



Entry 2:
Compound: Tb6Pr10Sm
Source: Alexandria
Functional: GGA-PBE
Structure: optimized geometry

```
data_Tb6Pr10Sm
_chemical_formula_sum 'Tb6 Pr10 Sm1'
_space_group_name_H-M_alt 'P 1'
_space_group_IT_number 1
_space_group_name_Hall 'P 1'
_cell_length_a 9.938
_cell_length_b 9.938
_cell_length_c 6.987
_cell_angle_alpha 90.00
_cell_angle_beta 90.00
_cell_angle_gamma 120.00
loop_
_atom_site_label
_atom_site_type_symbol
_atom_site_fract_x
_atom_site_fract_y
_atom_site_fract_z
Tb1 Tb 0.000 0.370 0.191
Tb2 Tb 0.000 0.630 0.809
Tb3 Tb 0.370 0.000 0.191
Tb4 Tb 0.370 0.370 0.809
Tb5 Tb 0.630 0.000 0.809
Tb6 Tb 0.630 0.630 0.191
Pr1 Pr 0.000 0.275 0.683
Pr2 Pr 0.000 0.725 0.317
Pr3 Pr 0.275 0.000 0.683
Pr4 Pr 0.275 0.275 0.317
Pr5 Pr 0.333 0.667 0.000
Pr6 Pr 0.333 0.667 0.500
Pr7 Pr 0.667 0.333 0.000
Pr8 Pr 0.667 0.333 0.500
Pr9 Pr 0.725 0.000 0.317
Pr10 Pr 0.725 0.725 0.683
Sm1 Sm 0.000 0.000 0.000
```

Properties
Volume: 598 Å³ per cell
Magnetization: 0.00 μB/f.u.
Energy relative to the elements: 0.1269 eV per atom
Electronic total energy: -4.596 eV/atom
Density of states at the Fermi level: 26.4 states/eV per cell



Entry 3:
Compound: Tb2Pr3Sm7
Source: Alexandria
Functional: GGA-PBE
Structure: optimized geometry

```
data_Tb2Pr3Sm7
_chemical_formula_sum 'Tb2 Pr3 Sm7'
_space_group_name_H-M_alt 'P 1'
_space_group_IT_number 1
_space_group_name_Hall 'P 1'
_cell_length_a 6.469
_cell_length_b 3.588
_cell_length_c 17.862
_cell_angle_alpha 90.00
_cell_angle_beta 96.20
_cell_angle_gamma 90.00
loop_
_atom_site_label
_atom_site_type_symbol
_atom_site_fract_x
_atom_site_fract_y
_atom_site_fract_z
Tb1 Tb 0.056 0.000 0.171
Tb2 Tb 0.944 0.000 0.829
Pr1 Pr 0.452 0.500 0.839
Pr2 Pr 0.500 0.000 0.500
Pr3 Pr 0.548 0.500 0.161
Sm1 Sm 0.000 0.500 0.500
Sm2 Sm 0.223 0.000 0.668
Sm3 Sm 0.255 0.000 0.999
Sm4 Sm 0.270 0.500 0.333
Sm5 Sm 0.730 0.500 0.667
Sm6 Sm 0.745 0.000 0.001
Sm7 Sm 0.777 0.000 0.332
```

Properties
Volume: 412 Å³ per cell
Magnetization: 0.00 μB/f.u.
Energy relative to the elements: 0.0768 eV per atom
Electronic total energy: -4.643 eV/atom
Density of states at the Fermi level: 18.0 states/eV per cell



Entry 4:
Compound: Tb3Pr4Sm
Source: Alexandria
Functional: GGA-PBE
Structure: optimized geometry

```
data_Tb3Pr4Sm
_chemical_formula_sum 'Tb6 Pr8 Sm2'
_space_group_name_H-M_alt 'P 1'
_space_group_IT_number 1
_space_group_name_Hall 'P 1'
_cell_length_a 10.341
_cell_length_b 7.281
_cell_length_c 7.280
_cell_angle_alpha 90.00
_cell_angle_beta 90.00
_cell_angle_gamma 90.00
loop_
_atom_site_label
_atom_site_type_symbol
_atom_site_fract_x
_atom_site_fract_y
_atom_site_fract_z
Tb1 Tb 0.000 0.000 0.000
Tb2 Tb 0.250 0.249 0.250
Tb3 Tb 0.250 0.751 0.750
Tb4 Tb 0.500 0.000 0.500
Tb5 Tb 0.750 0.249 0.250
Tb6 Tb 0.750 0.751 0.750
Pr1 Pr 0.000 0.000 0.500
Pr2 Pr 0.000 0.500 0.000
Pr3 Pr 0.250 0.249 0.750
Pr4 Pr 0.250 0.751 0.250
Pr5 Pr 0.500 0.000 0.000
Pr6 Pr 0.500 0.500 0.500
Pr7 Pr 0.750 0.249 0.750
Pr8 Pr 0.750 0.751 0.250
Sm1 Sm 0.000 0.500 0.500
Sm2 Sm 0.500 0.500 0.000
```

Properties
Volume: 548 Å³ per cell
Magnetization: 0.00 μB/f.u.
Energy relative to the elements: 0.0173 eV per atom
Electronic total energy: -4.699 eV/atom
Density of states at the Fermi level: 25.2 states/eV per cell



Entry 5:
Compound: TbPrSm3
Source: Alexandria
Functional: GGA-PBE
Structure: optimized geometry

```
data_TbPrSm3
_chemical_formula_sum 'Tb2 Pr2 Sm6'
_space_group_name_H-M_alt 'P 1'
_space_group_IT_number 1
_space_group_name_Hall 'P 1'
_cell_length_a 9.602
_cell_length_b 9.602
_cell_length_c 10.287
_cell_angle_alpha 105.53
_cell_angle_beta 105.53
_cell_angle_gamma 21.80
loop_
_atom_site_label
_atom_site_type_symbol
_atom_site_fract_x
_atom_site_fract_y
_atom_site_fract_z
Tb1 Tb 0.201 0.201 0.353
Tb2 Tb 0.799 0.799 0.647
Pr1 Pr 0.399 0.399 0.948
Pr2 Pr 0.601 0.601 0.052
Sm1 Sm 0.000 0.000 0.253
Sm2 Sm 0.000 0.000 0.747
Sm3 Sm 0.201 0.201 0.848
Sm4 Sm 0.399 0.399 0.451
Sm5 Sm 0.601 0.601 0.549
Sm6 Sm 0.799 0.799 0.152
```

Properties
Volume: 339 Å³ per cell
Magnetization: 0.00 μB/f.u.
Energy relative to the elements: 0.0158 eV per atom
Electronic total energy: -4.698 eV/atom
Density of states at the Fermi level: 14.1 states/eV per cell



Entry 6:
Compound: TbPr7Sm12
Source: Alexandria
Functional: GGA-PBE
Structure: optimized geometry

```
data_TbPr7Sm12
_chemical_formula_sum 'Tb1 Pr7 Sm12'
_space_group_name_H-M_alt 'P 1'
_space_group_IT_number 1
_space_group_name_Hall 'P 1'
_cell_length_a 8.921
_cell_length_b 8.921
_cell_length_c 8.921
_cell_angle_alpha 86.82
_cell_angle_beta 86.82
_cell_angle_gamma 86.82
loop_
_atom_site_label
_atom_site_type_symbol
_atom_site_fract_x
_atom_site_fract_y
_atom_site_fract_z
Tb1 Tb 0.000 0.000 0.000
Pr1 Pr 0.079 0.152 0.397
Pr2 Pr 0.152 0.397 0.079
Pr3 Pr 0.397 0.079 0.152
Pr4 Pr 0.500 0.500 0.500
Pr5 Pr 0.603 0.921 0.848
Pr6 Pr 0.848 0.603 0.921
Pr7 Pr 0.921 0.848 0.603
Sm1 Sm 0.135 0.494 0.616
Sm2 Sm 0.146 0.748 0.275
Sm3 Sm 0.252 0.725 0.854
Sm4 Sm 0.275 0.146 0.748
Sm5 Sm 0.384 0.865 0.506
Sm6 Sm 0.494 0.616 0.135
Sm7 Sm 0.506 0.384 0.865
Sm8 Sm 0.616 0.135 0.494
Sm9 Sm 0.725 0.854 0.252
Sm10 Sm 0.748 0.275 0.146
Sm11 Sm 0.854 0.252 0.725
Sm12 Sm 0.865 0.506 0.384
```

Properties
Volume: 707 Å³ per cell
Magnetization: 0.00 μB/f.u.
Energy relative to the elements: 0.2196 eV per atom
Electronic total energy: -4.516 eV/atom
Density of states at the Fermi level: 39.0 states/eV per cell



Entry 7:
Compound: Tb2Pr4Sm3
Source: Alexandria
Functional: GGA-PBE
Structure: optimized geometry

```
data_Tb2Pr4Sm3
_chemical_formula_sum 'Tb2 Pr4 Sm3'
_space_group_name_H-M_alt 'P 1'
_space_group_IT_number 1
_space_group_name_Hall 'P 1'
_cell_length_a 3.650
_cell_length_b 3.650
_cell_length_c 27.236
_cell_angle_alpha 90.00
_cell_angle_beta 90.00
_cell_angle_gamma 120.00
loop_
_atom_site_label
_atom_site_type_symbol
_atom_site_fract_x
_atom_site_fract_y
_atom_site_fract_z
Tb1 Tb 0.000 0.000 0.000
Tb2 Tb 0.000 0.000 0.211
Pr1 Pr 0.000 0.000 0.338
Pr2 Pr 0.000 0.000 0.557
Pr3 Pr 0.333 0.667 0.671
Pr4 Pr 0.333 0.667 0.892
Sm1 Sm 0.000 0.000 0.781
Sm2 Sm 0.333 0.667 0.108
Sm3 Sm 0.333 0.667 0.445
```

Properties
Volume: 314 Å³ per cell
Magnetization: 0.02 μB/f.u.
Energy relative to the elements: 0.0651 eV per atom
Electronic total energy: -4.661 eV/atom
Density of states at the Fermi level: 16.9 states/eV per cell



Entry 8:
Compound: TbPr2Sm7
Source: Alexandria
Functional: GGA-PBE
Structure: optimized geometry

```
data_TbPr2Sm7
_chemical_formula_sum 'Tb1 Pr2 Sm7'
_space_group_name_H-M_alt 'P 1'
_space_group_IT_number 1
_space_group_name_Hall 'P 1'
_cell_length_a 6.296
_cell_length_b 7.278
_cell_length_c 8.139
_cell_angle_alpha 77.12
_cell_angle_beta 75.02
_cell_angle_gamma 73.51
loop_
_atom_site_label
_atom_site_type_symbol
_atom_site_fract_x
_atom_site_fract_y
_atom_site_fract_z
Tb1 Tb 0.000 0.000 0.000
Pr1 Pr 0.201 0.299 0.601
Pr2 Pr 0.799 0.701 0.399
Sm1 Sm 0.000 0.500 0.000
Sm2 Sm 0.200 0.801 0.601
Sm3 Sm 0.399 0.100 0.198
Sm4 Sm 0.399 0.601 0.198
Sm5 Sm 0.601 0.399 0.802
Sm6 Sm 0.601 0.900 0.802
Sm7 Sm 0.800 0.199 0.399
```

Properties
Volume: 341 Å³ per cell
Magnetization: 0.00 μB/f.u.
Energy relative to the elements: 0.0150 eV per atom
Electronic total energy: -4.707 eV/atom
Density of states at the Fermi level: 15.0 states/eV per cell



What is the magnetization in the sixth record?
0.00 μB/f.u.



Repeat the third record exactly.
Compound: Tb2Pr3Sm7
Source: Alexandria
Functional: GGA-PBE
Structure: optimized geometry

```
data_Tb2Pr3Sm7
_chemical_formula_sum 'Tb2 Pr3 Sm7'
_space_group_name_H-M_alt 'P 1'
_space_group_IT_number 1
_space_group_name_Hall 'P 1'
_cell_length_a 6.469
_cell_length_b 3.588
_cell_length_c 17.862
_cell_angle_alpha 90.00
_cell_angle_beta 96.20
_cell_angle_gamma 90.00
loop_
_atom_site_label
_atom_site_type_symbol
_atom_site_fract_x
_atom_site_fract_y
_atom_site_fract_z
Tb1 Tb 0.056 0.000 0.171
Tb2 Tb 0.944 0.000 0.829
Pr1 Pr 0.452 0.500 0.839
Pr2 Pr 0.500 0.000 0.500
Pr3 Pr 0.548 0.500 0.161
Sm1 Sm 0.000 0.500 0.500
Sm2 Sm 0.223 0.000 0.668
Sm3 Sm 0.255 0.000 0.999
Sm4 Sm 0.270 0.500 0.333
Sm5 Sm 0.730 0.500 0.667
Sm6 Sm 0.745 0.000 0.001
Sm7 Sm 0.777 0.000 0.332
```

Properties
Volume: 412 Å³ per cell
Magnetization: 0.00 μB/f.u.
Energy relative to the elements: 0.0768 eV per atom
Electronic total energy: -4.643 eV/atom
Density of states at the Fermi level: 18.0 states/eV per cell



Number 7 is which compound?
Tb2Pr4Sm3



What did the second record say?
Compound: Tb6Pr10Sm
Source: Alexandria
Functional: GGA-PBE
Structure: optimized geometry

```
data_Tb6Pr10Sm
_chemical_formula_sum 'Tb6 Pr10 Sm1'
_space_group_name_H-M_alt 'P 1'
_space_group_IT_number 1
_space_group_name_Hall 'P 1'
_cell_length_a 9.938
_cell_length_b 9.938
_cell_length_c 6.987
_cell_angle_alpha 90.00
_cell_angle_beta 90.00
_cell_angle_gamma 120.00
loop_
_atom_site_label
_atom_site_type_symbol
_atom_site_fract_x
_atom_site_fract_y
_atom_site_fract_z
Tb1 Tb 0.000 0.370 0.191
Tb2 Tb 0.000 0.630 0.809
Tb3 Tb 0.370 0.000 0.191
Tb4 Tb 0.370 0.370 0.809
Tb5 Tb 0.630 0.000 0.809
Tb6 Tb 0.630 0.630 0.191
Pr1 Pr 0.000 0.275 0.683
Pr2 Pr 0.000 0.725 0.317
Pr3 Pr 0.275 0.000 0.683
Pr4 Pr 0.275 0.275 0.317
Pr5 Pr 0.333 0.667 0.000
Pr6 Pr 0.333 0.667 0.500
Pr7 Pr 0.667 0.333 0.000
Pr8 Pr 0.667 0.333 0.500
Pr9 Pr 0.725 0.000 0.317
Pr10 Pr 0.725 0.725 0.683
Sm1 Sm 0.000 0.000 0.000
```

Properties
Volume: 598 Å³ per cell
Magnetization: 0.00 μB/f.u.
Energy relative to the elements: 0.1269 eV per atom
Electronic total energy: -4.596 eV/atom
Density of states at the Fermi level: 26.4 states/eV per cell